Below is a relaxed structure of BSCl2F, with properties calculated at the PBEsol level.

For the total magnetic moment, the calculation gives 0.25 μB per cell. The relative energy among the computed polymorphs is 0.696 eV per atom. The crystal system is tetragonal. The calculation puts the calculated volume at 19.85 Å³ per atom. Its raw total energy is -11.886 eV/cell. The calculation puts the formation energy (no corrections) at 1091 meV/atom.

The space group is P4/mmm (No. 123) and the conventional cell measures 5.3121, 5.3121 and 3.5181 Å, with angles of 90.00, 90.00 and 90.00 degrees. The asymmetric unit holds B at (0.0000, 0.0000, 0.0000), S at (0.5000, 0.5000, 0.0000), Cl at (0.0000, 0.5000, 0.5000) and F at (0.5000, 0.5000, 0.5000).

Below is a relaxed structure of BSCl2F, with properties calculated at the PBEsol level.

For the total magnetic moment, the calculation gives 0.00 μB per cell. The relative energy among the computed polymorphs is 0.000 eV per atom. The crystal system is tetragonal. The calculation puts the calculated volume at 14.39 Å³ per atom. Its raw total energy is -15.369 eV/cell. The calculation puts the formation energy (no corrections) at 395 meV/atom.

The space group is P4/mmm (No. 123) and the conventional cell measures 4.2484, 4.2484 and 3.9872 Å, with angles of 90.00, 90.00 and 90.00 degrees. The asymmetric unit holds B at (0.0000, 0.0000, 0.0000), S at (0.0000, 0.0000, 0.5000), Cl at (0.0000, 0.5000, 0.0000) and F at (0.5000, 0.5000, 0.5000).

Below is a relaxed structure of Fe3B7ClO13, with properties calculated at the PBEsol level.

For the total magnetic moment, the calculation gives 72.00 μB per cell. The crystal system is trigonal. The calculation puts the calculated volume at 9.26 Å³ per atom. Its raw total energy is -1168.298 eV/cell. The calculation puts the formation energy (no corrections) at -2019 meV/atom.

The space group is R3c (No. 161, hexagonal axes) and the conventional cell measures 8.5701, 8.5701 and 20.9666 Å, with angles of 90.00, 90.00 and 120.00 degrees. The asymmetric unit holds Fe at (0.1889, 0.3839, 0.0000), B at (0.0000, 0.0000, 0.0545), B at (0.1691, 0.3388, 0.2412), B at (0.2032, 0.1016, 0.1865), Cl at (0.0000, 0.0000, 0.3894), O at (0.0000, 0.0000, 0.1696), O at (0.0001, 0.1605, 0.0520), O at (0.0271, 0.2905, 0.1940), O at (0.1049, 0.3628, 0.3028) and O at (0.1339, 0.4450, 0.4128).

Below is a relaxed structure of FeBPCl2, with properties calculated at the PBEsol level.

For the total magnetic moment, the calculation gives 1.35 μB per cell. The crystal system is tetragonal. The calculation puts the calculated volume at 18.05 Å³ per atom. Its raw total energy is -20.873 eV/cell. The calculation puts the formation energy (no corrections) at 983 meV/atom.

The space group is P4/mmm (No. 123) and the conventional cell measures 4.6089, 4.6089 and 4.2499 Å, with angles of 90.00, 90.00 and 90.00 degrees. The asymmetric unit holds Fe at (0.0000, 0.0000, 0.0000), B at (0.5000, 0.5000, 0.5000), P at (0.0000, 0.0000, 0.5000) and Cl at (0.0000, 0.5000, 0.0000).